{"formula": "Pm4Sm2Bi3N2", "functional": "PBE-GGA", "state": "relaxed", "dos_at_fermi_per_ev_cell": 4.31, "e_tot_ev_per_atom": -6.178, "volume_a3_per_cell": 306, "raw_formation_energy_kj_per_mol_fu": -1083, "lattice": [[4.815, 0.000, 0.000], [0.000, 4.815, 0.000], [-2.408, -2.408, 13.205]], "species": ["Pm", "Pm", "Pm", "Pm", "N", "N", "Bi", "Bi", "Bi", "Sm", "Sm"], "fractional_positions": [[0.916, 0.416, 0.832], [0.584, 0.084, 0.168], [0.084, 0.584, 0.168], [0.416, 0.916, 0.832], [0.605, 0.605, 0.210], [0.395, 0.395, 0.790], [0.000, 0.000, 0.000], [0.181, 0.181, 0.361], [0.819, 0.819, 0.639], [0.309, 0.309, 0.618], [0.691, 0.691, 0.382]]}